Record 1
Here is a geometry-optimized PmMn2IO4 structure from Alexandria via LeMat-Bulk. Energies are from PBE+U.

Results
Symmetry: No. 123

```
PmMn2IO4
1.0
3.836 0.000 0.000
0.000 3.836 0.000
0.000 0.000 9.561
Pm Mn I O
1 2 1 4
Direct
0.000 0.000 0.000
0.500 0.500 0.213
0.500 0.500 0.787
0.000 0.000 0.500
0.000 0.500 0.155
0.000 0.500 0.845
0.500 0.000 0.155
0.500 0.000 0.845
```



Record 2
Here is a geometry-optimized PrMnIO2 structure from Alexandria via LeMat-Bulk. Energies are from PBE+U.

Results
Symmetry: No. 11

```
PrMnIO2
1.0
7.826 0.000 0.000
0.000 4.252 0.000
-3.667 0.000 7.052
Pr Mn I O
2 2 2 4
Direct
0.155 0.250 0.438
0.845 0.750 0.562
0.096 0.250 0.926
0.904 0.750 0.074
0.491 0.250 0.254
0.509 0.750 0.746
0.010 0.750 0.379
0.025 0.750 0.885
0.975 0.250 0.115
0.990 0.250 0.621
```



Record 3
Here is a geometry-optimized MnPtI2O structure from Alexandria via LeMat-Bulk. Energies are from PBE+U.

Results
Symmetry: No. 123

```
MnPtI2O
1.0
5.705 0.000 0.000
0.000 5.705 0.000
0.000 0.000 3.871
Mn Pt I O
1 1 2 1
Direct
0.000 0.000 0.000
0.500 0.500 0.500
0.000 0.500 0.500
0.500 0.000 0.500
0.500 0.500 0.000
```



Total DFT energy (no corrections) across the listed records, respectively: -6.957 -6.892 -4.242 eV/atom.